# PBE BaMnTl2N, relaxed
data_BaMnTl2N
_chemical_formula_sum 'Ba1 Mn1 Tl2 N1'
_space_group_name_H-M_alt 'P 1'
_space_group_IT_number 1
_cell_length_a 6.012
_cell_length_b 3.589
_cell_length_c 6.012
_cell_angle_alpha 90.00
_cell_angle_beta 90.00
_cell_angle_gamma 90.00
loop_
_space_group_symop_operation_xyz
'x,y,z'
loop_
_atom_site_label
_atom_site_type_symbol
_atom_site_fract_x
_atom_site_fract_y
_atom_site_fract_z
Tl1 Tl 0.500 0.000 0.000
Tl2 Tl 0.000 0.000 0.500
Mn1 Mn 0.000 0.500 0.000
N1 N 0.000 0.000 0.000
Ba1 Ba 0.500 0.500 0.500
# ΔE_f (raw): 359.9 meV per atom
# offset from the most stable computed form: 57 kJ/mol of formula units
# space group: P4/mmm, No. 123



# PBE YOsI2, relaxed
data_YOsI2
_chemical_formula_sum 'Y1 Os1 I2'
_space_group_name_H-M_alt 'P 1'
_space_group_IT_number 1
_cell_length_a 5.138
_cell_length_b 5.138
_cell_length_c 5.138
_cell_angle_alpha 60.00
_cell_angle_beta 60.00
_cell_angle_gamma 60.00
loop_
_space_group_symop_operation_xyz
'x,y,z'
loop_
_atom_site_label
_atom_site_type_symbol
_atom_site_fract_x
_atom_site_fract_y
_atom_site_fract_z
Y1 Y 0.000 0.000 0.000
Os1 Os 0.500 0.500 0.500
I1 I 0.250 0.250 0.250
I2 I 0.750 0.750 0.750
# ΔE_f (raw): 560.5 meV per atom
# offset from the most stable computed form: 53 kJ/mol of formula units
# space group: Fm-3m, No. 225



# PBE K3HfIn, relaxed
data_K3HfIn
_chemical_formula_sum 'K3 Hf1 In1'
_space_group_name_H-M_alt 'P 1'
_space_group_IT_number 1
_cell_length_a 6.595
_cell_length_b 6.595
_cell_length_c 6.595
_cell_angle_alpha 90.00
_cell_angle_beta 90.00
_cell_angle_gamma 90.00
loop_
_space_group_symop_operation_xyz
'x,y,z'
loop_
_atom_site_label
_atom_site_type_symbol
_atom_site_fract_x
_atom_site_fract_y
_atom_site_fract_z
In1 In 0.000 0.000 0.000
K1 K 0.500 0.000 0.000
K2 K 0.000 0.500 0.000
K3 K 0.000 0.000 0.500
Hf1 Hf 0.500 0.500 0.500
# ΔE_f: 1186 meV per atom
# offset from the most stable computed form: 0 kJ/mol of formula units
# space group: Pm-3m, No. 221



# PBE Sr2Si2Ru, relaxed
data_Sr2Si2Ru
_chemical_formula_sum 'Sr2 Si2 Ru1'
_space_group_name_H-M_alt 'P 1'
_space_group_IT_number 1
_cell_length_a 3.526
_cell_length_b 3.526
_cell_length_c 9.910
_cell_angle_alpha 79.75
_cell_angle_beta 79.75
_cell_angle_gamma 90.00
loop_
_space_group_symop_operation_xyz
'x,y,z'
loop_
_atom_site_label
_atom_site_type_symbol
_atom_site_fract_x
_atom_site_fract_y
_atom_site_fract_z
Ru1 Ru 0.000 0.000 0.000
Si1 Si 0.750 0.250 0.500
Si2 Si 0.250 0.750 0.500
Sr1 Sr 0.599 0.599 0.803
Sr2 Sr 0.401 0.401 0.197
# ΔE_f (raw): 295.3 meV per atom
# space group: I4/mmm, No. 139



# PBE TiSiI2, relaxed
data_TiSiI2
_chemical_formula_sum 'Ti1 Si1 I2'
_space_group_name_H-M_alt 'P 1'
_space_group_IT_number 1
_cell_length_a 5.068
_cell_length_b 5.068
_cell_length_c 5.068
_cell_angle_alpha 60.00
_cell_angle_beta 60.00
_cell_angle_gamma 60.00
loop_
_space_group_symop_operation_xyz
'x,y,z'
loop_
_atom_site_label
_atom_site_type_symbol
_atom_site_fract_x
_atom_site_fract_y
_atom_site_fract_z
Ti1 Ti 0.500 0.500 0.500
I1 I 0.250 0.250 0.250
I2 I 0.750 0.750 0.750
Si1 Si 0.000 0.000 0.000
# ΔE_f (raw): 464.9 meV per atom
# offset from the most stable computed form: 0 kJ/mol of formula units
# space group: Fm-3m, No. 225



# PBE YPaGePt, relaxed
data_YPaGePt
_chemical_formula_sum 'Y1 Pa1 Ge1 Pt1'
_space_group_name_H-M_alt 'P 1'
_space_group_IT_number 1
_cell_length_a 5.025
_cell_length_b 5.025
_cell_length_c 5.025
_cell_angle_alpha 60.00
_cell_angle_beta 60.00
_cell_angle_gamma 60.00
loop_
_space_group_symop_operation_xyz
'x,y,z'
loop_
_atom_site_label
_atom_site_type_symbol
_atom_site_fract_x
_atom_site_fract_y
_atom_site_fract_z
Y1 Y 0.750 0.750 0.750
Pa1 Pa 0.250 0.250 0.250
Pt1 Pt 0.500 0.500 0.500
Ge1 Ge 0.000 0.000 0.000
# ΔE_f: -613 meV per atom
# space group: F-43m, No. 216



Going through the records in order, we get spin magnetization values of 0.0, 1.5, 2.2, 0.0, 0.7, 1.5 μB per formula unit.